# CsBaAu3, optimized geometry, DFT GGA-PBE
data_CsBaAu3
_cell_length_a 6.297
_cell_length_b 6.297
_cell_length_c 6.297
_cell_angle_alpha 90.00
_cell_angle_beta 90.00
_cell_angle_gamma 90.00
_space_group_name_H-M_alt 'P m -3 m'
_space_group_IT_number 221
_space_group_name_Hall '-P 4 2 3'
loop_
_atom_site_label
_atom_site_type_symbol
_atom_site_fract_x
_atom_site_fract_y
_atom_site_fract_z
Cs1 Cs 0.000 0.000 0.000
Ba1 Ba 0.500 0.500 0.500
Au1 Au 0.000 0.500 0.500
# * DOS at the Fermi energy: 0.00 states/eV/atom
# * total magnetization: 0.00 μB per formula unit
# * DFT total energy: -2.754 eV per atom
# * crystal system: cubic
# * volume: 49.937 A^3/atom
# * offset from the most stable computed form: 305 meV per atom
# * ΔE_f: -22 kJ/mol of atoms